Record 1
Material: HfZrHgIr
Method: DFT, PBE-GGA
State: optimized geometry

It has space group F-43m (No. 216), with a = 6.7979 Å, b = 6.7979 Å, c = 6.7979 Å, α = 90.00°, β = 90.00° and γ = 90.00°. The asymmetric unit holds Hf at (0.0000, 0.0000, 0.0000), Zr at (0.0000, 0.0000, 0.5000), Hg at (0.2500, 0.2500, 0.2500) and Ir at (0.2500, 0.2500, 0.7500).

The density of states at the Fermi level is 0.8716 states/eV per atom. The total energy is -7.271 eV/atom.

---

Record 2
Material: CaRhS2Cl
Method: DFT, PBE-GGA
State: optimized geometry

It has space group P4/mmm (No. 123), with a = 4.7206 Å, b = 4.7206 Å, c = 4.7810 Å, α = 90.00°, β = 90.00° and γ = 90.00°. The asymmetric unit holds Ca at (0.0000, 0.0000, 0.0000), Rh at (0.5000, 0.5000, 0.5000), S at (0.0000, 0.5000, 0.5000) and Cl at (0.5000, 0.5000, 0.0000).

The calculation puts the uncorrected formation energy at -725 meV per atom. For the excess energy over the best structure of this formula in the dataset, the calculation gives 0.000 eV/atom. The density of states at the Fermi level is 0.9179 states/eV per atom.

---

Record 3
Material: ThCuHgPd
Method: DFT, PBE-GGA
State: optimized geometry

It has space group F-43m (No. 216), with a = 6.9148 Å, b = 6.9148 Å, c = 6.9148 Å, α = 90.00°, β = 90.00° and γ = 90.00°. The asymmetric unit holds Th at (0.0000, 0.0000, 0.0000), Cu at (0.2500, 0.2500, 0.2500), Hg at (0.0000, 0.0000, 0.5000) and Pd at (0.2500, 0.2500, 0.7500).

The density of states at the Fermi level is 0.7447 states/eV per atom. The total energy is -4.614 eV/atom.

---

Record 4
Material: Tb4NdAg2
Method: DFT, PBE-GGA
State: optimized geometry

It has space group R-3m (No. 166, hexagonal axes), with a = 4.9425 Å, b = 4.9425 Å, c = 31.3733 Å, α = 90.00°, β = 90.00° and γ = 120.00°. The asymmetric unit holds Tb at (0.0000, 0.0000, 0.1038), Tb at (0.0000, 0.0000, 0.2986), Nd at (0.0000, 0.0000, 0.5000) and Ag at (0.0000, 0.0000, 0.3980).

The density of states at the Fermi level is 1.6549 states/eV per atom. The total energy is -3.969 eV/atom.

---

Record 5
Material: Ce2BiPb
Method: DFT, PBE-GGA
State: optimized geometry

It has space group P2_1/m (No. 11), with a = 6.4501 Å, b = 4.8013 Å, c = 8.8252 Å, α = 90.00°, β = 110.00° and γ = 90.00°. The asymmetric unit holds Ce at (0.2451, 0.2500, 0.0613), Ce at (0.2454, 0.2500, 0.5622), Bi at (0.2172, 0.7500, 0.3051) and Pb at (0.2253, 0.7500, 0.8064).

For the excess energy over the best structure of this formula in the dataset, the calculation gives 0.000 eV/atom. The density of states at the Fermi level is 3.0918 states/eV per atom.

---

Record 6
Material: Ac2CuS
Method: DFT, PBE-GGA
State: optimized geometry

It has space group R3m (No. 160, hexagonal axes), with a = 4.2053 Å, b = 4.2053 Å, c = 23.5861 Å, α = 90.00°, β = 90.00° and γ = 120.00°. The asymmetric unit holds Ac at (0.0000, 0.0000, 0.0000), Ac at (0.0000, 0.0000, 0.1737), Cu at (0.0000, 0.0000, 0.7541) and S at (0.0000, 0.0000, 0.5851).

The calculation puts the uncorrected formation energy at -904 meV per atom. For the excess energy over the best structure of this formula in the dataset, the calculation gives 0.053 eV/atom. The density of states at the Fermi level is 0.8465 states/eV per atom.